No. 1
{"formula": "NaLa2I6", "functional": "PBE-GGA", "state": "relaxed", "cell": [[7.7830, 0.0000, 0.0000], [0.0000, 7.7830, 0.0000], [0.0000, 0.0000, 13.5776]], "species": ["Na", "Na", "La", "La", "La", "La", "I", "I", "I", "I", "I", "I", "I", "I", "I", "I", "I", "I"], "fractional_positions": [[0.5000, 0.5000, 0.0000], [0.0000, 0.0000, 0.5000], [0.5000, 0.5000, 0.3476], [0.5000, 0.5000, 0.6524], [0.0000, 0.0000, 0.1524], [0.0000, 0.0000, 0.8476], [0.7050, 0.7050, 0.1720], [0.7050, 0.7050, 0.8280], [0.7160, 0.7160, 0.5000], [0.7840, 0.2160, 0.0000], [0.7950, 0.2050, 0.3280], [0.7950, 0.2050, 0.6720], [0.2050, 0.7950, 0.3280], [0.2050, 0.7950, 0.6720], [0.2160, 0.7840, 0.0000], [0.2840, 0.2840, 0.5000], [0.2950, 0.2950, 0.1720], [0.2950, 0.2950, 0.8280]], "relative_energy_ev_per_fu": 0.209, "e_form_raw_ev_per_atom": -1.367, "final_energy_ev_per_atom": -3.642}


No. 2
{"formula": "Ce4RuPt", "functional": "PBE-GGA", "state": "relaxed", "cell": [[-3.1824, 0.5103, -6.2709], [-1.4174, -6.7683, 0.1686], [-5.6787, 1.2817, 3.7107]], "species": ["Ce", "Ce", "Ce", "Ce", "Ce", "Ce", "Ce", "Ce", "Ru", "Ru", "Pt", "Pt"], "fractional_positions": [[0.8555, 0.6681, 0.1701], [0.6445, 0.1681, 0.8299], [0.2951, 0.3207, 0.3235], [0.2049, 0.8207, 0.6765], [0.1445, 0.3319, 0.8299], [0.3555, 0.8319, 0.1701], [0.7049, 0.6793, 0.6765], [0.7951, 0.1793, 0.3235], [0.5000, 0.0000, 0.5000], [0.0000, 0.5000, 0.5000], [0.0000, 0.0000, 0.0000], [0.5000, 0.5000, 0.0000]], "relative_energy_ev_per_fu": 0.627, "delta_e_f_ev_per_atom": -0.386, "final_energy_ev_per_atom": -6.894}


No. 3
{"formula": "AsAuSe3", "functional": "PBE-GGA", "state": "relaxed", "cell": [[5.0222, 0.0000, 0.0000], [0.0000, 5.0222, 0.0000], [0.0000, 0.0000, 5.0222]], "species": ["As", "Au", "Se", "Se", "Se"], "fractional_positions": [[0.0000, 0.0000, 0.0000], [0.5000, 0.5000, 0.5000], [0.0000, 0.5000, 0.0000], [0.0000, 0.0000, 0.5000], [0.5000, 0.0000, 0.0000]], "relative_energy_ev_per_fu": 3.320, "e_form_raw_ev_per_atom": 0.702, "final_energy_ev_per_atom": -2.974}


No. 4
{"formula": "PrInIrO6", "functional": "PBE-GGA", "state": "relaxed", "cell": [[-1.2704, -4.7941, -2.2910], [3.8502, 0.2440, 3.8682], [-7.0114, -1.5229, 7.0748]], "species": ["Pr", "Pr", "In", "In", "Ir", "Ir", "O", "O", "O", "O", "O", "O", "O", "O", "O", "O", "O", "O"], "fractional_positions": [[0.0000, 0.0000, 0.0000], [0.0000, 0.0000, 0.5000], [0.3333, 0.6667, 0.2500], [0.6667, 0.3333, 0.7500], [0.6667, 0.3333, 0.2500], [0.3333, 0.6667, 0.7500], [0.6548, 0.6226, 0.1401], [0.9679, 0.3452, 0.1401], [0.3452, 0.9679, 0.6401], [0.0321, 0.6548, 0.8599], [0.3774, 0.3452, 0.3599], [0.9679, 0.6226, 0.3599], [0.6226, 0.9679, 0.8599], [0.6548, 0.0321, 0.3599], [0.0321, 0.3774, 0.6401], [0.3774, 0.0321, 0.1401], [0.6226, 0.6548, 0.6401], [0.3452, 0.3774, 0.8599]], "e_form_raw_ev_per_atom": -1.611, "final_energy_ev_per_atom": -6.736}


No. 5
{"formula": "SbP2S2", "functional": "PBE-GGA", "state": "relaxed", "cell": [[-1.4699, -4.3867, 0.1000], [3.8314, -1.2318, 2.2842], [-2.0806, 0.7864, 3.9141]], "species": ["Sb", "S", "S", "P", "P"], "fractional_positions": [[0.5000, 0.5000, 0.5000], [0.0000, 0.0000, 0.0000], [0.0000, 0.0000, 0.5000], [0.0000, 0.5000, 0.0000], [0.5000, 0.0000, 0.0000]], "relative_energy_ev_per_fu": 1.257, "e_form_raw_ev_per_atom": 0.719, "final_energy_ev_per_atom": -3.921}


No. 6
{"formula": "KZr2Pb", "functional": "PBE-GGA", "state": "relaxed", "cell": [[4.0964, 0.0000, 0.0000], [0.0000, 3.3224, 0.0115], [0.0000, 3.2808, 8.9880]], "species": ["K", "Pb", "Zr", "Zr"], "fractional_positions": [[0.0000, 0.4760, 0.5225], [0.5000, 0.6920, 0.8077], [0.0000, 0.0038, 0.9968], [0.5000, 0.3282, 0.1730]], "relative_energy_ev_per_fu": 0.267, "delta_e_f_ev_per_atom": 0.169, "final_energy_ev_per_atom": -5.306}


No. 7
{"formula": "La4RhPb8", "functional": "PBE-GGA", "state": "relaxed", "cell": [[-0.6557, 3.9336, -2.4692], [-3.5596, 1.2181, 2.8859], [11.4349, 8.5058, 10.5142]], "species": ["La", "La", "La", "La", "Rh", "Pb", "Pb", "Pb", "Pb", "Pb", "Pb", "Pb", "Pb"], "fractional_positions": [[0.0000, 0.0000, 0.0951], [0.0000, 0.5000, 0.6051], [0.5000, 0.5000, 0.3912], [0.5000, 0.0000, 0.9007], [0.0000, 0.0000, 0.3112], [0.0000, 0.0000, 0.4611], [0.0000, 0.5000, 0.9310], [0.5000, 0.5000, 0.0566], [0.5000, 0.0000, 0.5797], [0.0000, 0.5000, 0.2322], [0.0000, 0.0000, 0.7516], [0.5000, 0.0000, 0.2322], [0.5000, 0.5000, 0.7556]], "delta_e_f_ev_per_atom": -0.473, "final_energy_ev_per_atom": -4.837}


No. 8
{"formula": "ThMgP2Ir5", "functional": "PBE-GGA", "state": "relaxed", "cell": [[-1.4443, -3.5608, -1.4323], [-1.3223, -0.9750, 3.7573], [-8.7037, 4.3123, -1.9440]], "species": ["Th", "Mg", "P", "P", "Ir", "Ir", "Ir", "Ir", "Ir"], "fractional_positions": [[0.0000, 0.0000, 0.5000], [0.0000, 0.0000, 0.0000], [0.5000, 0.5000, 0.2690], [0.5000, 0.5000, 0.7310], [0.0000, 0.5000, 0.1722], [0.5000, 0.0000, 0.1722], [0.0000, 0.5000, 0.8278], [0.5000, 0.0000, 0.8278], [0.5000, 0.5000, 0.5000]], "delta_e_f_ev_per_atom": -0.461, "final_energy_ev_per_atom": -7.587}


No. 9
{"formula": "Sc2AgSb", "functional": "PBE-GGA", "state": "relaxed", "cell": [[-2.6357, -0.9048, -3.1530], [-0.9820, -3.3982, 1.7960], [-4.5023, 0.8439, 3.5215]], "species": ["Ag", "Sb", "Sc", "Sc"], "fractional_positions": [[0.0000, 0.7173, 0.4404], [0.5000, 0.5382, 0.7986], [0.0000, 0.9788, 0.9172], [0.5000, 0.2657, 0.3438]], "e_form_raw_ev_per_atom": -0.538, "final_energy_ev_per_atom": -5.447}


No. 10
{"formula": "FeSbOsAu2", "functional": "PBE-GGA", "state": "relaxed", "cell": [[4.8564, 0.0000, 0.0000], [0.0000, 4.3823, 0.0000], [0.0000, 0.0000, 4.8564]], "species": ["Os", "Au", "Au", "Fe", "Sb"], "fractional_positions": [[0.0000, 0.5000, 0.0000], [0.0000, 0.0000, 0.5000], [0.5000, 0.0000, 0.0000], [0.0000, 0.0000, 0.0000], [0.5000, 0.5000, 0.5000]], "e_form_raw_ev_per_atom": 1.093, "final_energy_ev_per_atom": -4.981}


No. 11
{"formula": "SmEr6In3", "functional": "PBE-GGA", "state": "relaxed", "cell": [[7.6762, 0.0000, 0.0000], [0.0000, 9.1658, -0.6383], [0.0000, -2.6675, 8.7923]], "species": ["Sm", "Sm", "Er", "Er", "Er", "Er", "Er", "Er", "Er", "Er", "Er", "Er", "Er", "Er", "In", "In", "In", "In", "In", "In"], "fractional_positions": [[0.0808, 0.2162, 0.7838], [0.5808, 0.7838, 0.2162], [0.1066, 0.7637, 0.6976], [0.6066, 0.6976, 0.7637], [0.2944, 0.5511, 0.9253], [0.7944, 0.9253, 0.5511], [0.2965, 0.9514, 0.0486], [0.6241, 0.2986, 0.7014], [0.1241, 0.7014, 0.2986], [0.7965, 0.0486, 0.9514], [0.2944, 0.0747, 0.4489], [0.7944, 0.4489, 0.0747], [0.1066, 0.3024, 0.2363], [0.6066, 0.2363, 0.3024], [0.4311, 0.9843, 0.7196], [0.9311, 0.7196, 0.9843], [0.3199, 0.4444, 0.5556], [0.8199, 0.5556, 0.4444], [0.9311, 0.0157, 0.2804], [0.4311, 0.2804, 0.0157]], "delta_e_f_ev_per_atom": -0.130, "final_energy_ev_per_atom": -4.161}


No. 12
{"formula": "Rb2Tl3InI6", "functional": "PBE-GGA", "state": "relaxed", "cell": [[5.0998, 0.0000, 0.0000], [0.0000, 10.1979, 0.3687], [-2.5499, -2.9303, 10.7295]], "species": ["Rb", "Rb", "Tl", "Tl", "Tl", "In", "I", "I", "I", "I", "I", "I"], "fractional_positions": [[0.8348, 0.6712, 0.6697], [0.1652, 0.3288, 0.3303], [0.5000, 0.5000, 0.0000], [0.8322, 0.1670, 0.6644], [0.1678, 0.8330, 0.3356], [0.5000, 0.0000, 0.0000], [0.3357, 0.9284, 0.6714], [0.6640, 0.5874, 0.3280], [0.6643, 0.0716, 0.3286], [0.9961, 0.2456, 0.9923], [0.0039, 0.7544, 0.0077], [0.3360, 0.4126, 0.6720]], "e_form_raw_ev_per_atom": -0.903, "final_energy_ev_per_atom": -2.659}